1.
VASP calculation (meta-GGA SCAN) on KPRhCl2 at its PBEsol-relaxed geometry.

The value obtained for the calculated volume is 113.05 Å³ per cell. The total DFT energy (no corrections) comes out at -14.407 eV/atom. The magnetic moment is 0.00 μB/f.u.

Structure (POSCAR):
```
KPRhCl2
1.0
5.087 0.000 0.000
0.000 5.087 0.000
0.000 0.000 4.369
K P Rh Cl
1 1 1 2
direct
0.000 0.000 0.000
0.500 0.500 0.000
0.500 0.500 0.500
0.000 0.500 0.500
0.500 0.000 0.500
```

***

2.
VASP calculation (meta-GGA SCAN) on Tl3GeOs at its PBEsol-relaxed geometry.

The calculation puts the formation energy at 1.5332 eV/atom. The value obtained for the calculated volume is 140.68 Å³ per cell. The total DFT energy (no corrections) comes out at -60.075 eV/atom. The magnetic moment is 2.22 μB/f.u.

Structure (POSCAR):
```
Tl3GeOs
1.0
5.201 0.000 0.000
0.000 5.201 0.000
0.000 0.000 5.201
Tl Ge Os
3 1 1
direct
0.000 0.000 0.500
0.000 0.500 0.000
0.500 0.000 0.000
0.000 0.000 0.000
0.500 0.500 0.500
```

***

3.
VASP calculation (meta-GGA SCAN) on Nb3RuS6 at its PBEsol-relaxed geometry.

The value obtained for the calculated volume is 167.13 Å³ per cell. The total DFT energy (no corrections) comes out at -20.208 eV/atom. The magnetic moment is 0.00 μB/f.u.

Structure (POSCAR):
```
Nb3RuS6
1.0
2.872 1.658 5.848
-2.872 1.658 5.848
0.000 -3.317 5.848
Nb Ru S
3 1 6
direct
0.000 0.000 0.000
0.331 0.331 0.331
0.669 0.669 0.669
0.500 0.500 0.500
0.087 0.423 0.761
0.239 0.913 0.577
0.423 0.761 0.087
0.577 0.239 0.913
0.761 0.087 0.423
0.913 0.577 0.239
```

***

4.
VASP calculation (meta-GGA SCAN) on CaZnAs2 at its PBEsol-relaxed geometry.

The calculation puts the formation energy at -0.6419 eV/atom. The value obtained for the calculated volume is 85.91 Å³ per cell. The total DFT energy (no corrections) comes out at -16.532 eV/atom. The magnetic moment is 0.00 μB/f.u.

Structure (POSCAR):
```
CaZnAs2
1.0
5.502 -2.047 0.000
5.502 2.047 0.000
-1.524 0.000 3.813
Ca Zn As
1 1 2
direct
0.000 0.000 0.000
0.741 0.741 0.287
0.363 0.363 0.261
0.603 0.603 0.641
```

***

5.
VASP calculation (meta-GGA SCAN) on LaRe2W at its PBEsol-relaxed geometry.

Its energy relative to the lowest polymorph listed for this composition is 0.210 eV/atom. The calculation puts the formation energy at 0.6685 eV/atom. The value obtained for the calculated volume is 68.98 Å³ per cell. The total DFT energy (no corrections) comes out at -63.079 eV/atom. The magnetic moment is 0.00 μB/f.u.

Structure (POSCAR):
```
LaRe2W
1.0
0.000 3.255 3.255
3.255 0.000 3.255
3.255 3.255 0.000
La Re W
1 2 1
direct
0.000 0.000 0.000
0.250 0.250 0.250
0.500 0.500 0.500
0.750 0.750 0.750
```

***

6.
VASP calculation (meta-GGA SCAN) on Ag3Os at its PBEsol-relaxed geometry.

Its energy relative to the lowest polymorph listed for this composition is 0.000 eV/atom. The calculation puts the formation energy at 0.5393 eV/atom. The value obtained for the calculated volume is 62.69 Å³ per cell. The total DFT energy (no corrections) comes out at -40.956 eV/atom. The magnetic moment is 0.00 μB/f.u.

Structure (POSCAR):
```
Ag3Os
1.0
2.854 -4.153 0.000
2.854 4.153 0.000
0.000 0.000 2.644
Ag Os
3 1
direct
0.000 0.000 0.000
0.000 0.500 0.500
0.500 0.000 0.500
0.500 0.500 0.000
```

***

7.
VASP calculation (meta-GGA SCAN) on LiZr2W at its PBEsol-relaxed geometry.

The calculation puts the formation energy at 0.3503 eV/atom. The value obtained for the calculated volume is 71.47 Å³ per cell. The total DFT energy (no corrections) comes out at -33.019 eV/atom. The magnetic moment is 0.00 μB/f.u.

Structure (POSCAR):
```
LiZr2W
1.0
-1.786 2.230 4.485
1.786 -2.230 4.485
1.786 2.230 -4.485
Li Zr W
1 2 1
direct
0.000 0.000 0.000
0.481 0.481 0.000
0.754 0.254 0.500
0.221 0.721 0.500
```

***

8.
VASP calculation (meta-GGA SCAN) on La3U2O10 at its PBEsol-relaxed geometry.

The value obtained for the calculated volume is 411.55 Å³ per cell. The total DFT energy (no corrections) comes out at -30.279 eV/atom. The magnetic moment is 1.02 μB/f.u.

Structure (POSCAR):
```
La3U2O10
1.0
6.769 0.000 0.000
-2.235 7.360 0.000
-1.131 -2.232 8.260
La U O
6 4 20
direct
0.000 0.000 0.000
0.000 0.500 0.000
0.200 0.397 0.396
0.391 0.798 0.799
0.609 0.202 0.201
0.800 0.603 0.604
0.201 0.902 0.402
0.400 0.302 0.801
0.600 0.698 0.199
0.799 0.098 0.598
0.047 0.727 0.847
0.058 0.227 0.823
0.147 0.156 0.551
0.149 0.693 0.528
0.256 0.099 0.265
0.277 0.657 0.249
0.360 0.558 0.955
0.362 0.102 0.937
0.440 0.033 0.633
0.442 0.502 0.663
0.558 0.498 0.337
0.560 0.967 0.367
0.638 0.898 0.063
0.640 0.442 0.045
0.723 0.343 0.751
0.744 0.901 0.735
0.851 0.307 0.472
0.853 0.844 0.449
0.942 0.773 0.177
0.953 0.273 0.153
```

***

9.
VASP calculation (meta-GGA SCAN) on BeCoCu3 at its PBEsol-relaxed geometry.

The calculation puts the formation energy at 1.3090 eV/atom. The value obtained for the calculated volume is 77.71 Å³ per cell. The total DFT energy (no corrections) comes out at -12.142 eV/atom. The magnetic moment is 2.35 μB/f.u.

Structure (POSCAR):
```
BeCoCu3
1.0
4.267 0.000 0.000
0.000 4.267 0.000
0.000 0.000 4.267
Be Co Cu
1 1 3
direct
0.000 0.000 0.000
0.500 0.500 0.500
0.000 0.500 0.500
0.500 0.000 0.500
0.500 0.500 0.000
```

***

10.
VASP calculation (meta-GGA SCAN) on AlTeP2O at its PBEsol-relaxed geometry.

The value obtained for the calculated volume is 98.13 Å³ per cell. The total DFT energy (no corrections) comes out at -13.847 eV/atom. The magnetic moment is 0.00 μB/f.u.

Structure (POSCAR):
```
AlTeP2O
1.0
5.022 0.000 0.000
0.000 5.022 0.000
0.000 0.000 3.890
Al Te P O
1 1 2 1
direct
0.000 0.000 0.000
0.500 0.500 0.500
0.000 0.500 0.500
0.500 0.000 0.500
0.500 0.500 0.000
```

***

11.
VASP calculation (meta-GGA SCAN) on ZrCu2P at its PBEsol-relaxed geometry.

The calculation puts the formation energy at -0.4390 eV/atom. The value obtained for the calculated volume is 56.90 Å³ per cell. The total DFT energy (no corrections) comes out at -18.313 eV/atom. The magnetic moment is 0.00 μB/f.u.

Structure (POSCAR):
```
ZrCu2P
1.0
3.682 0.000 0.000
0.000 3.682 0.000
0.000 0.000 4.196
Zr Cu P
1 2 1
direct
0.000 0.000 0.000
0.000 0.500 0.500
0.500 0.000 0.500
0.500 0.500 0.000
```

***

12.
VASP calculation (meta-GGA SCAN) on BaGd2CoO5 at its PBEsol-relaxed geometry.

The value obtained for the calculated volume is 122.93 Å³ per cell. The total DFT energy (no corrections) comes out at -25.822 eV/atom. The magnetic moment is 16.05 μB/f.u.

Structure (POSCAR):
```
BaGd2CoO5
1.0
-1.844 2.896 5.755
1.844 -2.896 5.755
1.844 2.896 -5.755
Ba Gd Co O
1 2 1 5
direct
0.000 0.000 0.000
0.297 0.797 0.500
0.703 0.203 0.500
0.500 0.500 0.000
0.112 0.353 0.759
0.406 0.647 0.759
0.500 0.000 0.500
0.594 0.353 0.241
0.888 0.647 0.241
```